(1)
Here is a relaxed CaHgBr2 crystal from the Alexandria database. Energies are from PBE.

Unit cell a=6.6353 b=6.6353 c=6.6353 alpha=143.88 beta=116.55 gamma=75.24
Atoms (fractional coordinates):
Ca 0.7500 0.2500 0.5000
Hg 0.2500 0.7500 0.5000
Br 0.9339 0.9339 0.0000
Br 0.5661 0.5661 0.0000

Values from the calculation:
* polymorph energy (0 for the lowest one): 0.1768 eV/atom
* DOS at the Fermi energy: 0.0000 states/eV per atom
* VASP energy: -2.74 eV per atom
* theoretical density: 4.41 g/cm3
* magnetization: 0.000 μB/atom
* E_form (uncorrected): -1.3267 eV/atom
* space group: Immm



(2)
Here is a relaxed CaHgBr2 crystal from the Alexandria database. Energies are from PBE.

Unit cell a=11.6008 b=11.6008 c=11.6008 alpha=21.13 beta=21.13 gamma=21.13
Atoms (fractional coordinates):
Ca 0.5000 0.5000 0.5000
Hg 0.0000 0.0000 0.0000
Br 0.8797 0.8797 0.8797
Br 0.1203 0.1203 0.1203

Values from the calculation:
* polymorph energy (0 for the lowest one): 0.0007 eV/atom
* DOS at the Fermi energy: 0.0000 states/eV per atom
* VASP energy: -2.92 eV per atom
* theoretical density: 3.74 g/cm3
* magnetization: 0.000 μB/atom
* E_form (uncorrected): -1.5028 eV/atom
* space group: R-3m



(3)
Here is a relaxed CaHgBr3 crystal from the Alexandria database. Energies are from PBE.

Unit cell a=5.6090 b=5.6090 c=5.6090 alpha=90.00 beta=90.00 gamma=90.00
Atoms (fractional coordinates):
Ca 0.5000 0.5000 0.5000
Hg 0.0000 0.0000 0.0000
Br 0.0000 0.5000 0.0000
Br 0.0000 0.0000 0.5000
Br 0.5000 0.0000 0.0000

Values from the calculation:
* polymorph energy (0 for the lowest one): 0.3891 eV/atom
* DOS at the Fermi energy: 0.3897 states/eV per atom
* VASP energy: -2.12 eV per atom
* theoretical density: 4.52 g/cm3
* magnetization: 0.000 μB/atom
* E_form (uncorrected): -0.6570 eV/atom
* space group: Pm-3m



(4)
Here is a relaxed CaHgBr2 crystal from the Alexandria database. Energies are from PBE.

Unit cell a=4.2620 b=4.2620 c=10.4896 alpha=78.93 beta=78.93 gamma=59.98
Atoms (fractional coordinates):
Ca 0.2500 0.2500 0.2500
Hg 0.7500 0.7500 0.7500
Br 0.9651 0.9651 0.0963
Br 0.5349 0.5349 0.4037

Values from the calculation:
* polymorph energy (0 for the lowest one): 0.0000 eV/atom
* DOS at the Fermi energy: 0.0000 states/eV per atom
* VASP energy: -2.92 eV per atom
* theoretical density: 4.13 g/cm3
* magnetization: 0.000 μB/atom
* E_form (uncorrected): -1.5035 eV/atom
* space group: C2/m



(5)
Here is a relaxed Ca4HgBr crystal from the Alexandria database. Energies are from PBE.

Unit cell a=6.9590 b=6.9590 c=6.9590 alpha=60.00 beta=60.00 gamma=60.00
Atoms (fractional coordinates):
Ca 0.8726 0.3758 0.3758
Ca 0.3758 0.3758 0.8726
Ca 0.3758 0.8726 0.3758
Ca 0.3758 0.3758 0.3758
Hg 0.7500 0.7500 0.7500
Br 0.0000 0.0000 0.0000

Values from the calculation:
* DOS at the Fermi energy: 1.3397 states/eV per atom
* VASP energy: -1.64 eV per atom
* theoretical density: 3.07 g/cm3
* magnetization: 0.000 μB/atom
* E_form (uncorrected): 0.0198 eV/atom
* space group: F-43m



(6)
Here is a relaxed CaHgBr3 crystal from the Alexandria database. Energies are from PBE.

Unit cell a=5.6742 b=5.6742 c=5.6742 alpha=90.00 beta=90.00 gamma=90.00
Atoms (fractional coordinates):
Ca 0.0000 0.0000 0.0000
Hg 0.5000 0.5000 0.5000
Br 0.0000 0.5000 0.0000
Br 0.0000 0.0000 0.5000
Br 0.5000 0.0000 0.0000

Values from the calculation:
* polymorph energy (0 for the lowest one): 0.0000 eV/atom
* DOS at the Fermi energy: 1.5632 states/eV per atom
* VASP energy: -2.51 eV per atom
* theoretical density: 4.37 g/cm3
* magnetization: 0.001 μB/atom
* E_form (uncorrected): -1.0461 eV/atom
* space group: Pm-3m



(7)
Here is a relaxed CaHgBr2 crystal from the Alexandria database. Energies are from PBE.

Unit cell a=4.1496 b=4.1495 c=9.7706 alpha=90.00 beta=90.00 gamma=90.00
Atoms (fractional coordinates):
Ca 0.0000 0.0000 0.3008
Hg 0.5000 0.5000 0.7807
Br 0.0000 0.0000 0.0398
Br 0.5000 0.5000 0.3786

Values from the calculation:
* polymorph energy (0 for the lowest one): 0.2938 eV/atom
* VASP energy: -2.62 eV per atom
* theoretical density: 3.95 g/cm3
* magnetization: 0.000 μB/atom
* E_form (uncorrected): -1.2097 eV/atom
* space group: P4mm



(8)
Here is a relaxed CaHgBr2 crystal from the Alexandria database. Energies are from PBE.

Unit cell a=5.4449 b=5.4449 c=5.4449 alpha=60.00 beta=60.00 gamma=60.00
Atoms (fractional coordinates):
Ca 0.5000 0.5000 0.5000
Hg 0.7500 0.7500 0.7500
Br 0.0000 0.0000 0.0000
Br 0.2500 0.2500 0.2500

Values from the calculation:
* polymorph energy (0 for the lowest one): 0.5378 eV/atom
* DOS at the Fermi energy: 0.0000 states/eV per atom
* VASP energy: -2.38 eV per atom
* theoretical density: 5.83 g/cm3
* magnetization: 0.000 μB/atom
* E_form (uncorrected): -0.9657 eV/atom
* space group: F-43m



(9)
Here is a relaxed Ca4HgBr2 crystal from the Alexandria database. Energies are from PBE.

Unit cell a=5.9933 b=5.9933 c=8.6276 alpha=69.68 beta=69.68 gamma=90.00
Atoms (fractional coordinates):
Ca 0.8012 0.8012 0.3977
Ca 0.1988 0.1988 0.6023
Ca 0.0000 0.5000 0.0000
Ca 0.5000 0.0000 0.0000
Hg 0.0000 0.0000 0.0000
Br 0.6135 0.6135 0.7731
Br 0.3865 0.3865 0.2269

Values from the calculation:
* DOS at the Fermi energy: 0.9585 states/eV per atom
* VASP energy: -2.36 eV per atom
* theoretical density: 3.20 g/cm3
* magnetization: 0.000 μB/atom
* E_form (uncorrected): -0.6971 eV/atom
* space group: I4/mmm



(10)
Here is a relaxed CaHgBr6 crystal from the Alexandria database. Energies are from PBE.

Unit cell a=6.8828 b=8.0706 c=6.1398 alpha=66.50 beta=66.72 gamma=60.94
Atoms (fractional coordinates):
Ca 0.5000 0.5000 0.5000
Hg 0.0000 0.0000 0.0000
Br 0.0319 0.4822 0.7480
Br 0.7506 0.0789 0.7262
Br 0.5581 0.2397 0.2499
Br 0.2494 0.9211 0.2738
Br 0.9681 0.5178 0.2520
Br 0.4419 0.7603 0.7501

Values from the calculation:
* DOS at the Fermi energy: 1.0520 states/eV per atom
* VASP energy: -2.25 eV per atom
* theoretical density: 4.52 g/cm3
* magnetization: 0.000 μB/atom
* E_form (uncorrected): -0.7093 eV/atom
* space group: P-1



(11)
Here is a relaxed CaHg3Br8 crystal from the Alexandria database. Energies are from PBE.

Unit cell a=8.1972 b=8.4031 c=8.2038 alpha=118.99 beta=90.00 gamma=119.19
Atoms (fractional coordinates):
Ca 0.0000 0.0000 0.0000
Hg 0.5000 0.0000 0.0000
Hg 0.5000 0.5000 0.0000
Hg 0.0000 0.5000 0.0000
Br 0.2524 0.5048 0.7690
Br 0.7476 0.4952 0.2310
Br 0.2651 0.0124 0.7627
Br 0.7473 0.0124 0.7627
Br 0.7589 0.5178 0.7655
Br 0.2411 0.4822 0.2345
Br 0.2527 0.9876 0.2373
Br 0.7349 0.9876 0.2373

Values from the calculation:
* DOS at the Fermi energy: 0.0000 states/eV per atom
* VASP energy: -2.17 eV per atom
* theoretical density: 5.18 g/cm3
* magnetization: 0.000 μB/atom
* E_form (uncorrected): -0.8086 eV/atom
* space group: C2/m



(12)
Here is a relaxed CaHgBr2 crystal from the Alexandria database. Energies are from PBE.

Unit cell a=5.3555 b=5.3555 c=5.3555 alpha=62.60 beta=62.60 gamma=62.60
Atoms (fractional coordinates):
Ca 0.0000 0.0000 0.0000
Hg 0.5000 0.5000 0.5000
Br 0.7558 0.7558 0.7558
Br 0.2442 0.2442 0.2442

Values from the calculation:
* polymorph energy (0 for the lowest one): 0.3209 eV/atom
* DOS at the Fermi energy: 0.0000 states/eV per atom
* VASP energy: -2.59 eV per atom
* theoretical density: 5.79 g/cm3
* magnetization: 0.000 μB/atom
* E_form (uncorrected): -1.1826 eV/atom
* space group: R-3m